RbHg2AuI | GGA-PBE | relaxed

Calculated values
* ΔE_f (raw): -44.7 kJ/mol of atoms
* energy above the most stable polymorph in this dataset: 0 kJ/mol of formula units
* space group: P4/mmm (123)

```
RbHg2AuI
1.0
-1.239 2.220 -4.786
1.096 -4.700 -2.464
-6.572 -1.950 0.797
Rb Hg Au I
1 2 1 1
Direct
0.000 0.000 0.500 Rb
0.500 0.000 0.000 Hg
0.000 0.500 0.000 Hg
0.000 0.000 0.000 Au
0.500 0.500 0.500 I
```